Here is crystalline UCu4Ag at its relaxed geometry from Alexandria. Energies are from PBE-GGA.

Results
Energy of formation = 0.0907 eV per atom
DOS(E_F) = 1.311 states/eV per atom
Electronic total energy = -119.92 eV/cell
M_tot = 0.28 μB/atom

The structure in CIF format:
```
data_UCu4Ag
_space_group_name_H-M_alt 'F -4 3 m'
_space_group_IT_number 216
_space_group_name_Hall 'F -4 2 3'
_cell_length_a 7.1760
_cell_length_b 7.1760
_cell_length_c 7.1760
_cell_angle_alpha 90.00
_cell_angle_beta 90.00
_cell_angle_gamma 90.00
loop_
_atom_site_label
_atom_site_type_symbol
_atom_site_fract_x
_atom_site_fract_y
_atom_site_fract_z
U1 U 0.0000 0.0000 0.0000
Cu1 Cu 0.1239 0.1239 0.3761
Ag1 Ag 0.2500 0.2500 0.7500
```

Here is crystalline AcZnGaPd at its relaxed geometry from Alexandria. Energies are from PBE-GGA.

Results
Energy of formation = -0.3974 eV per atom
DOS(E_F) = 1.016 states/eV per atom
Electronic total energy = -60.77 eV/cell
M_tot = 0.00 μB/atom

The structure in CIF format:
```
data_AcZnGaPd
_space_group_name_H-M_alt 'F -4 3 m'
_space_group_IT_number 216
_space_group_name_Hall 'F -4 2 3'
_cell_length_a 7.0878
_cell_length_b 7.0878
_cell_length_c 7.0878
_cell_angle_alpha 90.00
_cell_angle_beta 90.00
_cell_angle_gamma 90.00
loop_
_atom_site_label
_atom_site_type_symbol
_atom_site_fract_x
_atom_site_fract_y
_atom_site_fract_z
Ac1 Ac 0.0000 0.0000 0.0000
Zn1 Zn 0.2500 0.2500 0.7500
Ga1 Ga 0.0000 0.0000 0.5000
Pd1 Pd 0.2500 0.2500 0.2500
```

Here is crystalline Ba2AsN2 at its relaxed geometry from Alexandria. Energies are from PBE-GGA.

Results
DOS(E_F) = 0.446 states/eV per atom
Electronic total energy = -56.85 eV/cell
Formation energy (no corrections) = -0.656 eV/atom
Distance to the lowest polymorph of the same formula = 13 meV/atom
M_tot = 0.19 μB/atom

The structure in CIF format:
```
data_Ba2AsN2
_space_group_name_H-M_alt 'C 1 2/m 1'
_space_group_IT_number 12
_space_group_name_Hall '-C 2y'
_cell_length_a 8.3416
_cell_length_b 4.6552
_cell_length_c 7.8884
_cell_angle_alpha 90.00
_cell_angle_beta 105.24
_cell_angle_gamma 90.00
loop_
_atom_site_label
_atom_site_type_symbol
_atom_site_fract_x
_atom_site_fract_y
_atom_site_fract_z
Ba1 Ba 0.2260 0.0000 0.2301
As1 As 0.0000 0.5000 0.0000
N1 N 0.0677 0.0000 0.5488
```

Here is crystalline LaCeSi4 at its relaxed geometry from Alexandria. Energies are from PBE-GGA.

Results
DOS(E_F) = 1.007 states/eV per atom
Electronic total energy = -72.93 eV/cell
Formation energy (no corrections) = -0.652 eV/atom
M_tot = 0.01 μB/atom

The structure in CIF format:
```
data_LaCeSi4
_space_group_name_H-M_alt 'I -4 m 2'
_space_group_IT_number 119
_space_group_name_Hall 'I -4 -2'
_cell_length_a 4.2000
_cell_length_b 4.2000
_cell_length_c 14.0899
_cell_angle_alpha 90.00
_cell_angle_beta 90.00
_cell_angle_gamma 90.00
loop_
_atom_site_label
_atom_site_type_symbol
_atom_site_fract_x
_atom_site_fract_y
_atom_site_fract_z
La1 La 0.0000 0.0000 0.0000
Ce1 Ce 0.0000 0.5000 0.2500
Si1 Si 0.0000 0.0000 0.4139
Si2 Si 0.0000 0.5000 0.6678
```

Here is crystalline Cr2BiPd at its relaxed geometry from Alexandria. Energies are from PBE-GGA.

Results
Energy of formation = 0.7915 eV per atom
DOS(E_F) = 1.150 states/eV per atom
Electronic total energy = -100.62 eV/cell
M_tot = 0.00 μB/atom

The structure in CIF format:
```
data_Cr2BiPd
_space_group_name_H-M_alt 'I -4 2 d'
_space_group_IT_number 122
_space_group_name_Hall 'I -4 2bw'
_cell_length_a 3.8772
_cell_length_b 3.8772
_cell_length_c 19.0864
_cell_angle_alpha 90.00
_cell_angle_beta 90.00
_cell_angle_gamma 90.00
loop_
_atom_site_label
_atom_site_type_symbol
_atom_site_fract_x
_atom_site_fract_y
_atom_site_fract_z
Cr1 Cr 0.1609 0.2500 0.1250
Bi1 Bi 0.0000 0.0000 0.5000
Pd1 Pd 0.0000 0.0000 0.0000
```

Here is crystalline USnRuPt at its relaxed geometry from Alexandria. Energies are from PBE-GGA.

Results
Energy of formation = -0.3047 eV per atom
DOS(E_F) = 1.803 states/eV per atom
Electronic total energy = -127.31 eV/cell
M_tot = 0.41 μB/atom

The structure in CIF format:
```
data_USnRuPt
_space_group_name_H-M_alt 'F -4 3 m'
_space_group_IT_number 216
_space_group_name_Hall 'F -4 2 3'
_cell_length_a 6.7529
_cell_length_b 6.7529
_cell_length_c 6.7529
_cell_angle_alpha 90.00
_cell_angle_beta 90.00
_cell_angle_gamma 90.00
loop_
_atom_site_label
_atom_site_type_symbol
_atom_site_fract_x
_atom_site_fract_y
_atom_site_fract_z
U1 U 0.0000 0.0000 0.0000
Sn1 Sn 0.0000 0.0000 0.5000
Ru1 Ru 0.2500 0.2500 0.2500
Pt1 Pt 0.2500 0.2500 0.7500
```